# SrV2Cr2O7 PBE+U relaxed
# Crystal system: orthorhombic
# Total energy: -7.594 eV per atom
# Spin magnetization: 0.833 μB per atom
data_SrV2Cr2O7
_chemical_formula_sum 'Sr2 V4 Cr4 O14'
_cell_length_a 4.058
_cell_length_b 16.689
_cell_length_c 4.102
_cell_angle_alpha 90.00
_cell_angle_beta 90.00
_cell_angle_gamma 90.00
_symmetry_space_group_name_H-M 'I m m 2'
_symmetry_Int_Tables_number 44
_symmetry_space_group_name_Hall 'I 2 -2'
loop_
_atom_site_label
_atom_site_type_symbol
_atom_site_fract_x
_atom_site_fract_y
_atom_site_fract_z
_atom_site_occupancy
Sr1 Sr 0.000 0.000 0.000 1
V1 V 0.000 0.385 0.008 1
Cr1 Cr 0.000 0.251 0.508 1
O1 O 0.000 0.128 0.502 1
O2 O 0.000 0.258 0.008 1
O3 O 0.000 0.372 0.509 1
O4 O 0.000 0.500 0.058 1